Material: KRb4Na
Method: DFT, PBE-GGA
State: optimized geometry

Energy above the lowest structure with this stoichiometry, eV per atom: 0.0024

Cell lengths 12.790, 12.790, 7.932 Å; angles 107.56, 107.56, 51.68 degrees
Element x y z (fractional)
K 0.199 0.199 0.200
K 0.801 0.801 0.800
Rb 0.104 0.642 0.373
Rb 0.194 0.806 0.000
Rb 0.326 0.326 0.826
Rb 0.358 0.896 0.627
Rb 0.642 0.104 0.373
Rb 0.674 0.674 0.174
Rb 0.806 0.194 0.000
Rb 0.896 0.358 0.627
Na 0.500 0.500 0.278
Na 0.500 0.500 0.722

***

Material: K5Rb6Na2
Method: DFT, PBE-GGA
State: optimized geometry

Cell lengths 13.680, 30.848, 4.644 Å; angles 90.00, 90.00, 90.00 degrees
Element x y z (fractional)
K 0.000 0.000 0.000
K 0.087 0.252 0.000
K 0.171 0.499 0.000
K 0.329 0.999 0.000
K 0.413 0.752 0.000
K 0.500 0.500 0.000
K 0.587 0.248 0.000
K 0.671 0.001 0.000
K 0.829 0.501 0.000
K 0.913 0.748 0.000
Rb 0.005 0.384 0.500
Rb 0.162 0.119 0.500
Rb 0.164 0.861 0.000
Rb 0.336 0.361 0.000
Rb 0.338 0.619 0.500
Rb 0.495 0.884 0.500
Rb 0.505 0.116 0.500
Rb 0.662 0.381 0.500
Rb 0.664 0.639 0.000
Rb 0.836 0.139 0.000
Rb 0.838 0.881 0.500
Rb 0.995 0.616 0.500
Na 0.162 0.738 0.500
Na 0.338 0.238 0.500
Na 0.662 0.762 0.500
Na 0.838 0.262 0.500

***

Q: Which energy relative to the elements values were calculated for the entries above? A: 26; 28, in meV per atom.